Entry from Alexandria via LeMat-Bulk: crystalline BaTl2In at its relaxed geometry (GGA-PBEsol).

Lattice parameters (Å, degrees): 4.991 4.919 4.988 90.00 90.00 90.00
Positions (direct):
1 Tl 0.000 0.000 0.000
2 In 0.000 0.500 0.500
3 Tl 0.500 0.000 0.500
4 Ba 0.500 0.500 0.000

Theoretical density (g/cm³): 8.962
DFT formation energy (eV/f.u.): -1.077
Space group: No. 123
Calculated total energy (eV/atom): -2.87